Record 1
Below is a geometry-optimized Tm2Zn16Pd structure, with properties calculated at the PBE level.

a b c (Å): 6.760 6.760 6.760
angles (deg): 82.77 82.77 82.77
Fractional coordinates of all 19 atoms:
1 Tm 0.000 0.000 0.000
2 Tm 0.329 0.329 0.329
3 Zn 0.018 0.018 0.498
4 Zn 0.018 0.498 0.018
5 Zn 0.164 0.660 0.660
6 Zn 0.310 0.310 0.818
7 Zn 0.310 0.818 0.310
8 Zn 0.366 0.660 0.956
9 Zn 0.366 0.956 0.660
10 Zn 0.498 0.018 0.018
11 Zn 0.660 0.164 0.660
12 Zn 0.660 0.366 0.956
13 Zn 0.660 0.660 0.164
14 Zn 0.660 0.956 0.366
15 Zn 0.766 0.766 0.766
16 Zn 0.818 0.310 0.310
17 Zn 0.956 0.366 0.660
18 Zn 0.956 0.660 0.366
19 Pd 0.562 0.562 0.562

Properties
Total moment (μB per atom): 0.000
Energy relative to the elements (eV per atom): -0.266
Theoretical density (g/cm³): 8.19
Fermi-level density of states (states/eV per cell): 6.0

=====

Record 2
Below is a geometry-optimized Tm2ZnPd4 structure, with properties calculated at the PBE level.

a b c (Å): 7.728 7.728 7.728
angles (deg): 145.14 145.14 50.13
Fractional coordinates of all 7 atoms:
1 Tm 0.135 0.135 0.000
2 Tm 0.865 0.865 0.000
3 Zn 0.500 0.500 0.000
4 Pd 0.000 0.500 0.500
5 Pd 0.324 0.324 0.000
6 Pd 0.500 0.000 0.500
7 Pd 0.676 0.676 0.000

Properties
Total moment (μB per atom): 0.000
Energy relative to the elements (eV per atom): -0.353
Theoretical density (g/cm³): 9.17
Fermi-level density of states (states/eV per cell): 4.3

=====

Record 3
Below is a geometry-optimized Tm3Zn2Pd3 structure, with properties calculated at the PBE level.

a b c (Å): 8.166 8.166 5.516
angles (deg): 90.00 90.00 120.00
Fractional coordinates of all 16 atoms:
1 Tm 0.000 0.266 0.250
2 Tm 0.000 0.734 0.750
3 Tm 0.266 0.000 0.250
4 Tm 0.266 0.266 0.750
5 Tm 0.734 0.000 0.750
6 Tm 0.734 0.734 0.250
7 Zn 0.333 0.667 0.000
8 Zn 0.333 0.667 0.500
9 Zn 0.667 0.333 0.000
10 Zn 0.667 0.333 0.500
11 Pd 0.000 0.396 0.750
12 Pd 0.000 0.604 0.250
13 Pd 0.396 0.000 0.750
14 Pd 0.396 0.396 0.250
15 Pd 0.604 0.000 0.250
16 Pd 0.604 0.604 0.750

Properties
Total moment (μB per atom): 0.000
Energy relative to the elements (eV per atom): -0.718
Theoretical density (g/cm³): 9.97
Fermi-level density of states (states/eV per cell): 10.2

=====

Record 4
Below is a geometry-optimized TmZn2Pd2 structure, with properties calculated at the PBE level.

a b c (Å): 5.204 5.204 8.771
angles (deg): 97.68 97.68 122.96
Fractional coordinates of all 10 atoms:
1 Tm 0.125 0.875 0.750
2 Tm 0.875 0.125 0.250
3 Zn 0.252 0.502 0.003
4 Zn 0.498 0.748 0.497
5 Zn 0.502 0.252 0.503
6 Zn 0.748 0.498 0.997
7 Pd 0.206 0.794 0.250
8 Pd 0.458 0.542 0.750
9 Pd 0.542 0.458 0.250
10 Pd 0.794 0.206 0.750

Properties
Total moment (μB per atom): 0.000
Energy relative to the elements (eV per atom): -0.569
Theoretical density (g/cm³): 8.90
Fermi-level density of states (states/eV per cell): 4.2
Energy above the lowest structure with this stoichiometry (eV per atom): 0.084

=====

Record 5
Below is a geometry-optimized Tm3Zn3Pd2 structure, with properties calculated at the PBE level.

a b c (Å): 7.164 7.164 3.697
angles (deg): 90.00 90.00 120.00
Fractional coordinates of all 8 atoms:
1 Tm 0.000 0.596 0.000
2 Tm 0.404 0.404 0.000
3 Tm 0.596 0.000 0.000
4 Zn 0.000 0.226 0.500
5 Zn 0.226 0.000 0.500
6 Zn 0.774 0.774 0.500
7 Pd 0.333 0.667 0.500
8 Pd 0.667 0.333 0.500

Properties
Total moment (μB per atom): 0.000
Energy relative to the elements (eV per atom): -0.623
Theoretical density (g/cm³): 9.26
Fermi-level density of states (states/eV per cell): 3.0

=====

Record 6
Below is a geometry-optimized Tm3Zn2Pd4 structure, with properties calculated at the PBE level.

a b c (Å): 5.267 5.267 8.681
angles (deg): 93.96 93.96 47.85
Fractional coordinates of all 9 atoms:
1 Tm 0.000 0.000 0.000
2 Tm 0.374 0.374 0.614
3 Tm 0.626 0.626 0.386
4 Zn 0.324 0.324 0.218
5 Zn 0.676 0.676 0.782
6 Pd 0.083 0.083 0.635
7 Pd 0.290 0.290 0.910
8 Pd 0.710 0.710 0.090
9 Pd 0.917 0.917 0.365

Properties
Total moment (μB per atom): 0.000
Energy relative to the elements (eV per atom): -0.768
Theoretical density (g/cm³): 9.92
Fermi-level density of states (states/eV per cell): 4.2

=====

Record 7
Below is a geometry-optimized TmZn3Pd3 structure, with properties calculated at the PBE level.

a b c (Å): 6.759 6.759 6.759
angles (deg): 90.00 90.00 90.00
Fractional coordinates of all 14 atoms:
1 Tm 0.000 0.000 0.000
2 Tm 0.500 0.500 0.500
3 Zn 0.000 0.250 0.500
4 Zn 0.000 0.750 0.500
5 Zn 0.250 0.500 0.000
6 Zn 0.500 0.000 0.250
7 Zn 0.500 0.000 0.750
8 Zn 0.750 0.500 0.000
9 Pd 0.000 0.500 0.250
10 Pd 0.000 0.500 0.750
11 Pd 0.250 0.000 0.500
12 Pd 0.500 0.250 0.000
13 Pd 0.500 0.750 0.000
14 Pd 0.750 0.000 0.500

Properties
Total moment (μB per atom): 0.000
Energy relative to the elements (eV per atom): 0.030
Theoretical density (g/cm³): 7.36
Fermi-level density of states (states/eV per cell): 6.1
Energy above the lowest structure with this stoichiometry (eV per atom): 0.576

=====

Record 8
Below is a geometry-optimized Tm4ZnPd2 structure, with properties calculated at the PBE level.

a b c (Å): 9.434 9.434 9.434
angles (deg): 28.89 28.89 28.89
Fractional coordinates of all 7 atoms:
1 Tm 0.120 0.120 0.120
2 Tm 0.295 0.295 0.295
3 Tm 0.705 0.705 0.705
4 Tm 0.880 0.880 0.880
5 Zn 0.500 0.500 0.500
6 Pd 0.404 0.404 0.404
7 Pd 0.596 0.596 0.596

Properties
Total moment (μB per atom): 0.000
Energy relative to the elements (eV per atom): -0.506
Theoretical density (g/cm³): 9.14
Fermi-level density of states (states/eV per cell): 5.6
Energy above the lowest structure with this stoichiometry (eV per atom): 0.077

=====

Record 9
Below is a geometry-optimized Tm2Zn2Pd structure, with properties calculated at the PBE level.

a b c (Å): 6.967 6.967 8.428
angles (deg): 90.00 90.00 90.00
Fractional coordinates of all 20 atoms:
1 Tm 0.175 0.325 0.000
2 Tm 0.175 0.325 0.500
3 Tm 0.325 0.825 0.000
4 Tm 0.325 0.825 0.500
5 Tm 0.675 0.175 0.000
6 Tm 0.675 0.175 0.500
7 Tm 0.825 0.675 0.000
8 Tm 0.825 0.675 0.500
9 Zn 0.128 0.628 0.250
10 Zn 0.128 0.628 0.750
11 Zn 0.372 0.128 0.250
12 Zn 0.372 0.128 0.750
13 Zn 0.628 0.872 0.250
14 Zn 0.628 0.872 0.750
15 Zn 0.872 0.372 0.250
16 Zn 0.872 0.372 0.750
17 Pd 0.000 0.000 0.249
18 Pd 0.000 0.000 0.751
19 Pd 0.500 0.500 0.251
20 Pd 0.500 0.500 0.749

Properties
Total moment (μB per atom): 0.000
Energy relative to the elements (eV per atom): -0.468
Theoretical density (g/cm³): 9.34
Fermi-level density of states (states/eV per cell): 23.8
Energy above the lowest structure with this stoichiometry (eV per atom): 0.083

=====

Record 10
Below is a geometry-optimized TmZnPd6 structure, with properties calculated at the PBE level.

a b c (Å): 4.843 4.843 7.260
angles (deg): 106.88 106.88 67.17
Fractional coordinates of all 8 atoms:
1 Tm 0.000 0.000 0.000
2 Zn 0.500 0.500 0.500
3 Pd 0.053 0.566 0.207
4 Pd 0.147 0.147 0.438
5 Pd 0.434 0.947 0.793
6 Pd 0.566 0.053 0.207
7 Pd 0.853 0.853 0.562
8 Pd 0.947 0.434 0.793

Properties
Total moment (μB per atom): 0.000
Energy relative to the elements (eV per atom): -0.301
Theoretical density (g/cm³): 9.85
Fermi-level density of states (states/eV per cell): 4.1
Energy above the lowest structure with this stoichiometry (eV per atom): 0.293

=====

Record 11
Below is a geometry-optimized TmZn5Pd6 structure, with properties calculated at the PBE level.

a b c (Å): 6.598 6.598 7.111
angles (deg): 90.00 90.00 143.33
Fractional coordinates of all 12 atoms:
1 Tm 0.000 0.000 0.000
2 Zn 0.000 0.000 0.500
3 Zn 0.325 0.675 0.000
4 Zn 0.335 0.665 0.500
5 Zn 0.665 0.335 0.500
6 Zn 0.675 0.325 0.000
7 Pd 0.170 0.830 0.262
8 Pd 0.170 0.830 0.738
9 Pd 0.500 0.500 0.265
10 Pd 0.500 0.500 0.735
11 Pd 0.830 0.170 0.262
12 Pd 0.830 0.170 0.738

Properties
Total moment (μB per atom): 0.000
Energy relative to the elements (eV per atom): -0.629
Theoretical density (g/cm³): 10.19
Fermi-level density of states (states/eV per cell): 1.9

=====

Record 12
Below is a geometry-optimized Tm4Zn3Pd structure, with properties calculated at the PBE level.

a b c (Å): 3.518 3.518 13.867
angles (deg): 90.00 90.00 90.00
Fractional coordinates of all 8 atoms:
1 Tm 0.000 0.000 0.121
2 Tm 0.000 0.000 0.374
3 Tm 0.000 0.000 0.626
4 Tm 0.000 0.000 0.879
5 Zn 0.500 0.500 0.249
6 Zn 0.500 0.500 0.500
7 Zn 0.500 0.500 0.751
8 Pd 0.500 0.500 0.000

Properties
Total moment (μB per atom): 0.000
Energy relative to the elements (eV per atom): -0.509
Theoretical density (g/cm³): 9.47
Fermi-level density of states (states/eV per cell): 5.8

=====

Record 13
Below is a geometry-optimized TmZn3Pd2 structure, with properties calculated at the PBE level.

a b c (Å): 6.135 6.135 5.618
angles (deg): 90.00 90.00 84.79
Fractional coordinates of all 12 atoms:
1 Tm 0.139 0.861 0.750
2 Tm 0.861 0.139 0.250
3 Zn 0.078 0.609 0.250
4 Zn 0.391 0.922 0.250
5 Zn 0.495 0.505 0.250
6 Zn 0.505 0.495 0.750
7 Zn 0.609 0.078 0.750
8 Zn 0.922 0.391 0.750
9 Pd 0.258 0.258 0.000
10 Pd 0.258 0.258 0.500
11 Pd 0.742 0.742 0.000
12 Pd 0.742 0.742 0.500

Properties
Total moment (μB per atom): 0.000
Energy relative to the elements (eV per atom): -0.528
Theoretical density (g/cm³): 9.11
Fermi-level density of states (states/eV per cell): 4.8

=====

Record 14
Below is a geometry-optimized TmZn2Pd structure, with properties calculated at the PBE level.

a b c (Å): 3.983 3.983 4.608
angles (deg): 90.00 90.00 90.00
Fractional coordinates of all 4 atoms:
1 Tm 0.000 0.000 0.000
2 Zn 0.000 0.500 0.500
3 Zn 0.500 0.000 0.500
4 Pd 0.500 0.500 0.000

Properties
Total moment (μB per atom): 0.000
Energy relative to the elements (eV per atom): -0.430
Theoretical density (g/cm³): 9.23
Fermi-level density of states (states/eV per cell): 2.7

=====

Record 15
Below is a geometry-optimized TmZn6Pd12 structure, with properties calculated at the PBE level.

a b c (Å): 6.940 6.940 6.940
angles (deg): 100.43 100.43 100.43
Fractional coordinates of all 19 atoms:
1 Tm 0.000 0.000 0.000
2 Zn 0.158 0.447 0.229
3 Zn 0.229 0.158 0.447
4 Zn 0.447 0.229 0.158
5 Zn 0.553 0.771 0.842
6 Zn 0.771 0.842 0.553
7 Zn 0.842 0.553 0.771
8 Pd 0.003 0.212 0.690
9 Pd 0.184 0.582 0.606
10 Pd 0.212 0.690 0.003
11 Pd 0.310 0.997 0.788
12 Pd 0.394 0.816 0.418
13 Pd 0.418 0.394 0.816
14 Pd 0.582 0.606 0.184
15 Pd 0.606 0.184 0.582
16 Pd 0.690 0.003 0.212
17 Pd 0.788 0.310 0.997
18 Pd 0.816 0.418 0.394
19 Pd 0.997 0.788 0.310

Properties
Total moment (μB per atom): 0.000
Energy relative to the elements (eV per atom): -0.267
Theoretical density (g/cm³): 9.68
Fermi-level density of states (states/eV per cell): 10.6

=====

Record 16
Below is a geometry-optimized TmZn11Pd structure, with properties calculated at the PBE level.

a b c (Å): 6.804 6.804 6.746
angles (deg): 98.23 98.23 134.95
Fractional coordinates of all 13 atoms:
1 Tm 0.000 0.000 0.000
2 Zn 0.000 0.500 0.000
3 Zn 0.007 0.656 0.647
4 Zn 0.287 0.504 0.786
5 Zn 0.344 0.993 0.353
6 Zn 0.496 0.713 0.214
7 Zn 0.500 0.000 0.000
8 Zn 0.500 0.500 0.500
9 Zn 0.504 0.287 0.786
10 Zn 0.656 0.007 0.647
11 Zn 0.713 0.496 0.214
12 Zn 0.993 0.344 0.353
13 Pd 0.000 0.000 0.500

Properties
Total moment (μB per atom): 0.000
Energy relative to the elements (eV per atom): -0.239
Theoretical density (g/cm³): 8.06
Fermi-level density of states (states/eV per cell): 3.8

=====

Record 17
Below is a geometry-optimized Tm5ZnPd2 structure, with properties calculated at the PBE level.

a b c (Å): 8.539 8.539 8.539
angles (deg): 126.90 126.90 78.41
Fractional coordinates of all 16 atoms:
1 Tm 0.000 0.000 0.000
2 Tm 0.016 0.516 0.821
3 Tm 0.195 0.016 0.500
4 Tm 0.305 0.805 0.821
5 Tm 0.484 0.305 0.500
6 Tm 0.500 0.500 0.000
7 Tm 0.516 0.695 0.500
8 Tm 0.695 0.195 0.179
9 Tm 0.805 0.984 0.500
10 Tm 0.984 0.484 0.179
11 Zn 0.250 0.250 0.000
12 Zn 0.750 0.750 0.000
13 Pd 0.135 0.365 0.500
14 Pd 0.365 0.865 0.230
15 Pd 0.635 0.135 0.770
16 Pd 0.865 0.635 0.500

Properties
Total moment (μB per atom): 0.000
Energy relative to the elements (eV per atom): -0.552
Theoretical density (g/cm³): 9.67
Fermi-level density of states (states/eV per cell): 17.5

=====

Record 18
Below is a geometry-optimized Tm2Zn3Pd structure, with properties calculated at the PBE level.

a b c (Å): 8.896 8.418 5.604
angles (deg): 75.81 66.54 37.65
Fractional coordinates of all 12 atoms:
1 Tm 0.244 0.756 0.756
2 Tm 0.250 0.250 0.250
3 Tm 0.750 0.750 0.750
4 Tm 0.756 0.244 0.244
5 Zn 0.170 0.665 0.335
6 Zn 0.335 0.830 0.170
7 Zn 0.336 0.336 0.664
8 Zn 0.664 0.664 0.336
9 Zn 0.665 0.170 0.830
10 Zn 0.830 0.335 0.665
11 Pd 0.167 0.167 0.833
12 Pd 0.833 0.833 0.167

Properties
Total moment (μB per atom): 0.000
Energy relative to the elements (eV per atom): -0.535
Theoretical density (g/cm³): 9.12
Fermi-level density of states (states/eV per cell): 8.2

=====

Record 19
Below is a geometry-optimized TmZn4Pd2 structure, with properties calculated at the PBE level.

a b c (Å): 7.452 7.452 4.273
angles (deg): 90.00 90.00 90.00
Fractional coordinates of all 14 atoms:
1 Tm 0.000 0.000 0.000
2 Tm 0.500 0.500 0.500
3 Zn 0.102 0.356 0.500
4 Zn 0.144 0.602 0.000
5 Zn 0.356 0.102 0.500
6 Zn 0.398 0.856 0.000
7 Zn 0.602 0.144 0.000
8 Zn 0.644 0.898 0.500
9 Zn 0.856 0.398 0.000
10 Zn 0.898 0.644 0.500
11 Pd 0.214 0.786 0.500
12 Pd 0.286 0.286 0.000
13 Pd 0.714 0.714 0.000
14 Pd 0.786 0.214 0.500

Properties
Total moment (μB per atom): 0.000
Energy relative to the elements (eV per atom): -0.525
Theoretical density (g/cm³): 9.00
Fermi-level density of states (states/eV per cell): 3.9

=====

Record 20
Below is a geometry-optimized TmZn2Pd structure, with properties calculated at the PBE level.

a b c (Å): 3.335 3.335 6.447
angles (deg): 90.00 90.00 90.00
Fractional coordinates of all 4 atoms:
1 Tm 0.000 0.000 0.000
2 Zn 0.500 0.500 0.296
3 Zn 0.500 0.500 0.704
4 Pd 0.000 0.000 0.500

Properties
Total moment (μB per atom): 0.000
Energy relative to the elements (eV per atom): -0.435
Theoretical density (g/cm³): 9.41
Fermi-level density of states (states/eV per cell): 2.7

=====

Record 21
Below is a geometry-optimized Tm3Zn8Pd structure, with properties calculated at the PBE level.

a b c (Å): 9.264 9.264 9.264
angles (deg): 33.08 33.08 33.08
Fractional coordinates of all 12 atoms:
1 Tm 0.000 0.000 0.000
2 Tm 0.126 0.126 0.126
3 Tm 0.512 0.512 0.512
4 Zn 0.063 0.565 0.565
5 Zn 0.067 0.067 0.568
6 Zn 0.067 0.568 0.067
7 Zn 0.315 0.315 0.315
8 Zn 0.565 0.063 0.565
9 Zn 0.565 0.565 0.063
10 Zn 0.568 0.067 0.067
11 Zn 0.817 0.817 0.817
12 Pd 0.625 0.625 0.625

Properties
Total moment (μB per atom): 0.000
Energy relative to the elements (eV per atom): -0.369
Theoretical density (g/cm³): 8.95
Fermi-level density of states (states/eV per cell): 6.5